# 1
! PBE-GGA Sc2CdB2Ru5, optimized geometry; values from VASP
&SYSTEM
  ibrav = 0, nat = 20, ntyp = 4
/
ATOMIC_SPECIES
Ru 101.07 Ru.upf
B 10.81 B.upf
Sc 44.96 Sc.upf
Cd 112.41 Cd.upf
CELL_PARAMETERS angstrom
-2.0614 0.9815 -2.0470
-5.9833 -7.0098 2.6646
-3.8265 5.7854 6.6274
ATOMIC_POSITIONS angstrom
Ru -4.6412 -0.9174 1.9372
Ru -4.4282 4.4663 4.3041
Ru -7.4431 -4.7092 2.9409
Ru -7.0064 -2.1185 3.7433
Ru -4.8649 1.8756 3.5017
Ru -7.2301 0.6746 5.3078
Ru -4.0224 -3.0141 0.3088
Ru -9.2163 0.4267 7.1891
Ru -2.9440 3.3835 2.2902
Ru -2.6550 -0.6695 0.0559
B -3.1194 2.7422 4.4562
B -7.0834 0.7073 7.4725
B -6.6904 -3.9665 4.8358
B -2.7265 -1.9316 1.8195
Sc -2.2915 0.6491 2.6188
Sc -4.7118 -3.7196 2.9616
Sc -7.5184 -1.8734 6.6732
Sc -5.0980 2.4952 6.3304
Cd 0.0000 0.0000 0.0000
Cd -4.9049 -0.6122 4.6460
! DFT formation energy (meV per atom): -366
! DOS(E_F) (states/eV per cell): 22.1
! VASP energy (eV/atom): -7.697

***

# 2
! PBE-GGA Cs2CuBrO, optimized geometry; values from VASP
&SYSTEM
  ibrav = 0, nat = 5, ntyp = 4
/
ATOMIC_SPECIES
Cs 132.91 Cs.upf
Cu 63.55 Cu.upf
Br 79.90 Br.upf
O 16.00 O.upf
CELL_PARAMETERS angstrom
-3.1764 -2.6558 -4.8212
5.4656 -2.1806 -2.3998
-0.3818 -3.1334 1.9776
ATOMIC_POSITIONS angstrom
Cs -1.5882 -1.3279 -2.4106
Cs 2.7328 -1.0903 -1.1999
Cu -0.1909 -1.5667 0.9888
Br 0.9537 -3.9849 -2.6217
O 0.0000 0.0000 0.0000
! VASP energy (eV/atom): -3.642

***

# 3
! PBE-GGA LiHPd2Pb, optimized geometry; values from VASP
&SYSTEM
  ibrav = 0, nat = 10, ntyp = 4
/
ATOMIC_SPECIES
Li 6.94 Li.upf
Pb 207.20 Pb.upf
Pd 106.42 Pd.upf
H 1.01 H.upf
CELL_PARAMETERS angstrom
5.0925 0.0000 0.0000
0.0000 4.9546 0.0000
0.0000 0.0000 5.7568
ATOMIC_POSITIONS angstrom
Li 1.6706 1.2387 0.0000
Li 3.4220 3.7160 0.0000
Pb 1.5632 1.2387 2.8784
Pb 3.5293 3.7160 2.8784
Pd 4.2344 1.2387 4.3799
Pd 0.8581 3.7160 1.3769
Pd 4.2344 1.2387 1.3769
Pd 0.8581 3.7160 4.3799
H 0.0000 0.0000 0.0000
H 0.0000 2.4773 0.0000
! DOS(E_F) (states/eV per cell): 3.7
! Offset from the most stable computed form (meV per atom): 44
! VASP energy (eV/atom): -4.153

***

VASP energy of number 2 (Cs2CuBrO)?
-3.642 eV/atom

***

What is the formula in the second record?
Cs2CuBrO